(1)
Material: Co2SeS3
Method: DFT, GGA-PBE
State: optimized geometry

Calculated values
Electronic total energy ... -5.287 eV per atom
Formation energy without anion corrections ... -0.274 eV/atom

abc: 6.9245 6.9245 5.3696
angles: 108.58 108.58 60.03
With the nearest neighbours (Å) after each atom.
Positions (direct):
Co 0.0000 0.0000 0.0000  4 S 2.25, 2 Se 2.36
Co 0.0000 0.5000 0.0000  4 S 2.23-2.25, 2 Se 2.37
Co 0.5000 0.0000 0.0000  4 S 2.23-2.25, 2 Se 2.37
Co 0.5000 0.5000 0.0000  6 S 2.25-2.27
Se 0.2082 0.2082 0.2546  3 Co 2.36-2.37
Se 0.7918 0.7918 0.7454  3 Co 2.36-2.37
S 0.1984 0.7035 0.2100  3 Co 2.25-2.27
S 0.2965 0.8016 0.7900  3 Co 2.25-2.27
S 0.2986 0.2986 0.7973  3 Co 2.23-2.25
S 0.7014 0.7014 0.2027  3 Co 2.23-2.25
S 0.7035 0.1984 0.2100  3 Co 2.25-2.27
S 0.8016 0.2965 0.7900  3 Co 2.25-2.27

=====

(2)
Material: Sr3HgAu
Method: DFT, GGA-PBE
State: optimized geometry

Calculated values
Electronic total energy ... -2.215 eV per atom
Formation energy from the elements ... -11.3 kcal/mol of atoms

abc: 9.7708 9.7708 4.3767
angles: 90.02 90.02 70.27
With the nearest neighbours (Å) after each atom.
Positions (direct):
Sr 0.1215 0.1215 0.4957  2 Au 3.11
Sr 0.1586 0.5225 0.9995  2 Au 3.16-3.17, 2 Hg 3.43
Sr 0.4775 0.8414 0.0005  2 Au 3.16-3.17, 2 Hg 3.43
Sr 0.5204 0.2343 0.4965  2 Au 3.09
Sr 0.7657 0.4796 0.5035  2 Au 3.09
Sr 0.8785 0.8785 0.5043  2 Au 3.11
Hg 0.2582 0.7418 0.5000  6 Sr 3.43-3.49
Hg 0.8163 0.1837 0.0000  8 Sr 3.52-3.59
Au 0.3195 0.1827 0.9960  6 Sr 3.09-3.17
Au 0.8173 0.6805 0.0040  6 Sr 3.09-3.17

=====

(3)
Material: RbSeS3
Method: DFT, GGA-PBE
State: optimized geometry

Calculated values
Electronic total energy ... -3.687 eV per atom
Formation energy without anion corrections ... -0.320 eV/atom

abc: 5.2853 5.9265 6.6797
angles: 101.22 99.59 115.56
With the nearest neighbours (Å) after each atom.
Positions (direct):
Rb 0.0000 0.0000 0.0000  6 S 3.33-3.71
Se 0.8956 0.4817 0.4349  2 S 2.20-2.30
S 0.3669 0.4115 0.7123  1 S 2.01
S 0.5092 0.2031 0.5345  1 S 2.01
S 0.7175 0.4026 0.0917  1 Se 2.20

=====

(4)
Material: YH3O3
Method: DFT, GGA-PBE
State: optimized geometry

Calculated values
Electronic total energy ... -6.432 eV per atom

abc: 6.3676 6.3676 3.5524
angles: 90.00 90.00 120.00
With the nearest neighbours (Å) after each atom.
Positions (direct):
Y 0.3333 0.6667 0.2500  9 O 2.43-2.49
Y 0.6667 0.3333 0.7500  9 O 2.43-2.49
H 0.1390 0.8600 0.7500  1 O 0.97
H 0.1400 0.2790 0.7500  1 O 0.97
H 0.2790 0.1390 0.2500  1 O 0.97
H 0.7210 0.8610 0.7500  1 O 0.97
H 0.8600 0.7210 0.2500  1 O 0.97
H 0.8610 0.1400 0.2500  1 O 0.97
O 0.0855 0.3972 0.7500  1 H 0.97
O 0.3117 0.9145 0.7500  1 H 0.97
O 0.3972 0.3117 0.2500  1 H 0.97
O 0.6028 0.6883 0.7500  1 H 0.97
O 0.6883 0.0855 0.2500  1 H 0.97
O 0.9145 0.6028 0.2500  1 H 0.97

=====

(5)
Material: Ce3AlOs2
Method: DFT, GGA-PBE
State: optimized geometry

Calculated values
Electronic total energy ... -7.614 eV per atom
Formation energy from the elements ... -6.4 kcal/mol of atoms

abc: 4.2783 4.5021 13.7466
angles: 90.00 90.00 90.00
With the nearest neighbours (Å) after each atom.
Positions (direct):
Ce 0.0000 0.0000 0.0000  4 Os 2.82, 4 Al 3.11
Ce 0.0000 0.5000 0.1833  1 Os 2.52
Ce 0.0000 0.5000 0.8167  1 Os 2.52
Ce 0.5000 0.0000 0.3167  1 Os 2.52
Ce 0.5000 0.0000 0.6833  1 Os 2.52
Ce 0.5000 0.5000 0.5000  4 Os 2.82, 4 Al 3.11
Al 0.0000 0.0000 0.5000  4 Os 2.90, 4 Ce 3.11
Al 0.5000 0.5000 0.0000  4 Os 2.90, 4 Ce 3.11
Os 0.0000 0.5000 0.3664  3 Ce 2.52-2.82
Os 0.0000 0.5000 0.6336  3 Ce 2.52-2.82
Os 0.5000 0.0000 0.1336  3 Ce 2.52-2.82
Os 0.5000 0.0000 0.8664  3 Ce 2.52-2.82

=====

(6)
Material: AlCdNi2Au
Method: DFT, GGA-PBE
State: optimized geometry

Calculated values
Electronic total energy ... -2.777 eV per atom
Formation energy from the elements ... 25.9 kcal/mol of atoms

abc: 4.6659 4.6659 4.7886
angles: 90.00 90.00 90.00
With the nearest neighbours (Å) after each atom.
Positions (direct):
Al 0.0000 0.0000 0.0000  2 Cd 2.39
Cd 0.0000 0.0000 0.5000  4 Ni 2.33, 2 Al 2.39
Ni 0.0000 0.5000 0.5000  2 Cd 2.33
Ni 0.5000 0.0000 0.5000  2 Cd 2.33
Au 0.5000 0.5000 0.0000  4 Al 3.30, 8 Ni 3.34

=====

(7)
Material: BaBeOs2
Method: DFT, GGA-PBE
State: optimized geometry

Calculated values
Electronic total energy ... -5.616 eV per atom
Formation energy from the elements ... 32.5 kcal/mol of atoms

abc: 6.6480 6.6480 6.6480
angles: 90.00 90.00 90.00
With the nearest neighbours (Å) after each atom.
Positions (direct):
Ba 0.0000 0.0000 0.0000  4 Os 2.88, 4 Be 2.88
Ba 0.0000 0.5000 0.5000  4 Os 2.88, 4 Be 2.88
Ba 0.5000 0.0000 0.5000  4 Os 2.88, 4 Be 2.88
Ba 0.5000 0.5000 0.0000  4 Os 2.88, 4 Be 2.88
Be 0.2500 0.2500 0.2500  4 Ba 2.88, 4 Os 2.88
Be 0.2500 0.7500 0.7500  4 Ba 2.88, 4 Os 2.88
Be 0.7500 0.2500 0.7500  4 Ba 2.88, 4 Os 2.88
Be 0.7500 0.7500 0.2500  4 Ba 2.88, 4 Os 2.88
Os 0.0000 0.0000 0.5000  4 Be 2.88, 4 Os 2.88
Os 0.0000 0.5000 0.0000  4 Be 2.88, 4 Os 2.88
Os 0.2500 0.2500 0.7500  4 Ba 2.88, 4 Os 2.88
Os 0.2500 0.7500 0.2500  4 Ba 2.88, 4 Os 2.88
Os 0.5000 0.0000 0.0000  4 Be 2.88, 4 Os 2.88
Os 0.5000 0.5000 0.5000  4 Be 2.88, 4 Os 2.88
Os 0.7500 0.2500 0.2500  4 Ba 2.88, 4 Os 2.88
Os 0.7500 0.7500 0.7500  4 Ba 2.88, 4 Os 2.88

=====

(8)
Material: PaSi2Tc2
Method: DFT, GGA-PBE
State: optimized geometry

Calculated values
Electronic total energy ... -8.767 eV per atom
Formation energy without anion corrections ... -0.552 eV/atom

abc: 10.5397 10.5397 10.5397
angles: 157.59 157.57 31.92
With the nearest neighbours (Å) after each atom.
Positions (direct):
Pa 0.4133 0.1633 0.2500  10 Si 3.08-3.14, 4 Tc 3.18-3.24
Pa 0.5867 0.8367 0.7500  10 Si 3.08-3.14, 4 Tc 3.18-3.24
Si 0.0265 0.2765 0.7500  3 Si 2.31-2.33
Si 0.1414 0.3914 0.7500  1 Si 2.33, 4 Tc 2.44-2.48
Si 0.8586 0.6086 0.2500  1 Si 2.33, 4 Tc 2.44-2.48
Si 0.9735 0.7235 0.2500  3 Si 2.31-2.33
Tc 0.2108 0.9608 0.2500  2 Si 2.48, 4 Tc 2.60-2.65
Tc 0.2934 0.5434 0.7500  2 Si 2.44, 4 Tc 2.65-2.70
Tc 0.7066 0.4566 0.2500  2 Si 2.44, 4 Tc 2.65-2.70
Tc 0.7892 0.0392 0.7500  2 Si 2.48, 4 Tc 2.60-2.65

=====

What did the fifth record say?
Material: Ce3AlOs2
Method: DFT, GGA-PBE
State: optimized geometry

Calculated values
Electronic total energy ... -7.614 eV per atom
Formation energy from the elements ... -6.4 kcal/mol of atoms

abc: 4.2783 4.5021 13.7466
angles: 90.00 90.00 90.00
With the nearest neighbours (Å) after each atom.
Positions (direct):
Ce 0.0000 0.0000 0.0000  4 Os 2.82, 4 Al 3.11
Ce 0.0000 0.5000 0.1833  1 Os 2.52
Ce 0.0000 0.5000 0.8167  1 Os 2.52
Ce 0.5000 0.0000 0.3167  1 Os 2.52
Ce 0.5000 0.0000 0.6833  1 Os 2.52
Ce 0.5000 0.5000 0.5000  4 Os 2.82, 4 Al 3.11
Al 0.0000 0.0000 0.5000  4 Os 2.90, 4 Ce 3.11
Al 0.5000 0.5000 0.0000  4 Os 2.90, 4 Ce 3.11
Os 0.0000 0.5000 0.3664  3 Ce 2.52-2.82
Os 0.0000 0.5000 0.6336  3 Ce 2.52-2.82
Os 0.5000 0.0000 0.1336  3 Ce 2.52-2.82
Os 0.5000 0.0000 0.8664  3 Ce 2.52-2.82

=====

Q: What is the electronic total energy in the third record?
A: -3.687 eV per atom

=====

Q: Which formula does entry 6 have?
A: AlCdNi2Au